[1]
An optimized crystal structure of Li2BeAl2, computed with PBE-GGA.

Cell and atoms, written as POSCAR:
```
Li2BeAl2
1.0
-2.427 4.681 3.122
-5.430 -1.057 -2.637
-1.060 -2.739 3.282
Be Al Li
2 4 4
Direct
0.000 0.000 0.000
0.500 0.500 0.000
0.346 0.846 0.000
0.846 0.654 0.000
0.654 0.154 0.000
0.154 0.346 0.000
0.161 0.661 0.500
0.661 0.839 0.500
0.839 0.339 0.500
0.339 0.161 0.500
```

## Properties
polymorph energy (0 for the lowest one): 0.00 eV per formula unit
density: 1.543 g/cm³
symmetry: P4/mbm (127)
D(E_F): 3.3 states/eV/cell
total magnetic moment: 0.00 μB per cell
E_tot: -2.88 eV/atom

[2]
An optimized crystal structure of Li2BeAl2, computed with PBE-GGA.

Cell and atoms, written as POSCAR:
```
Li2BeAl2
1.0
-5.398 -2.208 -0.718
2.113 -3.921 -3.832
0.664 -2.614 3.041
Be Al Li
2 4 4
Direct
0.000 0.000 0.000
0.500 0.500 0.000
0.181 0.681 0.500
0.681 0.819 0.500
0.819 0.319 0.500
0.319 0.181 0.500
0.364 0.864 0.000
0.864 0.636 0.000
0.636 0.136 0.000
0.136 0.364 0.000
```

## Properties
polymorph energy (0 for the lowest one): 0.55 eV per formula unit
density: 1.819 g/cm³
symmetry: P4/mbm (127)
D(E_F): 3.1 states/eV/cell
total magnetic moment: 0.00 μB per cell
E_tot: -2.77 eV/atom

[3]
An optimized crystal structure of LiBeAl2, computed with PBE-GGA.

Cell and atoms, written as POSCAR:
```
LiBeAl2
1.0
2.765 0.000 0.000
0.000 3.769 0.000
0.000 0.000 5.449
Al Be Li
2 1 1
Direct
0.000 0.000 0.994
0.500 0.500 0.274
0.000 0.000 0.491
0.500 0.500 0.742
```

## Properties
density: 2.044 g/cm³
symmetry: Pmm2 (25)
D(E_F): 1.0 states/eV/cell
total magnetic moment: 0.00 μB per cell
E_tot: -3.18 eV/atom

[4]
An optimized crystal structure of LiBeAl2, computed with PBE-GGA.

Cell and atoms, written as POSCAR:
```
LiBeAl2
1.0
-4.429 1.636 0.117
-4.278 -0.039 -2.001
-1.905 -3.432 2.577
Al Be Li
2 1 1
Direct
0.003 0.003 0.010
0.756 0.756 0.732
0.495 0.495 0.506
0.245 0.245 0.252
```

## Properties
density: 2.043 g/cm³
symmetry: Cm (8)
D(E_F): 0.9 states/eV/cell
total magnetic moment: 0.00 μB per cell
E_tot: -3.17 eV/atom

[5]
An optimized crystal structure of LiLuBeAl, computed with PBE-GGA.

Cell and atoms, written as POSCAR:
```
LiLuBeAl
1.0
4.467 0.000 0.000
2.233 3.868 0.000
2.233 1.289 3.647
Be Lu Al Li
1 1 1 1
Direct
0.500 0.500 0.500
0.750 0.750 0.750
0.250 0.250 0.250
0.000 0.000 0.000
```

## Properties
density: 5.742 g/cm³
symmetry: F-43m (216)
D(E_F): 1.6 states/eV/cell
total magnetic moment: 0.00 μB per cell
E_tot: -3.59 eV/atom

[6]
An optimized crystal structure of LiNdBeAl, computed with PBE-GGA.

Cell and atoms, written as POSCAR:
```
LiNdBeAl
1.0
4.647 0.000 0.000
2.323 4.024 0.000
2.323 1.341 3.794
Be Nd Al Li
1 1 1 1
Direct
0.500 0.500 0.500
0.750 0.750 0.750
0.250 0.250 0.250
0.000 0.000 0.000
```

## Properties
density: 4.381 g/cm³
symmetry: F-43m (216)
D(E_F): 0.8 states/eV/cell
total magnetic moment: 0.00 μB per cell
E_tot: -3.66 eV/atom

[7]
An optimized crystal structure of LiBeAlNi, computed with PBE-GGA.

Cell and atoms, written as POSCAR:
```
LiBeAlNi
1.0
3.990 0.000 0.000
1.995 3.455 0.000
1.995 1.152 3.257
Ni Li Al Be
1 1 1 1
Direct
0.250 0.250 0.250
0.750 0.750 0.750
0.000 0.000 0.000
0.500 0.500 0.500
```

## Properties
density: 3.758 g/cm³
symmetry: F-43m (216)
D(E_F): 1.6 states/eV/cell
total magnetic moment: 0.00 μB per cell
E_tot: -4.05 eV/atom

[8]
An optimized crystal structure of LiPmBeAl, computed with PBE-GGA.

Cell and atoms, written as POSCAR:
```
LiPmBeAl
1.0
4.620 0.000 0.000
2.310 4.001 0.000
2.310 1.334 3.772
Be Li Al Pm
1 1 1 1
Direct
0.500 0.500 0.500
0.000 0.000 0.000
0.250 0.250 0.250
0.750 0.750 0.750
```

## Properties
density: 4.477 g/cm³
symmetry: F-43m (216)
D(E_F): 0.9 states/eV/cell
total magnetic moment: 0.00 μB per cell
E_tot: -3.66 eV/atom

[9]
An optimized crystal structure of Li2Be2AlPt5, computed with PBE-GGA.

Cell and atoms, written as POSCAR:
```
Li2Be2AlPt5
1.0
3.190 0.000 0.000
0.000 9.310 0.000
0.000 0.000 9.310
Li Be Al Pt
4 4 2 10
Direct
0.000 0.673 0.173
0.000 0.327 0.827
0.000 0.173 0.327
0.000 0.827 0.673
0.000 0.127 0.627
0.000 0.873 0.373
0.000 0.627 0.873
0.000 0.373 0.127
0.000 0.000 0.000
0.000 0.500 0.500
0.500 0.207 0.072
0.500 0.793 0.928
0.500 0.072 0.793
0.500 0.707 0.428
0.500 0.928 0.207
0.500 0.293 0.572
0.500 0.572 0.707
0.500 0.428 0.293
0.500 0.500 0.000
0.500 0.000 0.500
```

## Properties
density: 12.424 g/cm³
symmetry: P4/mbm (127)
D(E_F): 4.0 states/eV/cell
total magnetic moment: 0.00 μB per cell
E_tot: -5.27 eV/atom

[10]
An optimized crystal structure of LiBeAlRh, computed with PBE-GGA.

Cell and atoms, written as POSCAR:
```
LiBeAlRh
1.0
4.100 0.000 0.000
2.050 3.551 0.000
2.050 1.184 3.348
Be Rh Al Li
1 1 1 1
Direct
0.750 0.750 0.750
0.500 0.500 0.500
0.250 0.250 0.250
0.000 0.000 0.000
```

## Properties
density: 4.968 g/cm³
symmetry: F-43m (216)
D(E_F): 1.6 states/eV/cell
total magnetic moment: 0.00 μB per cell
E_tot: -4.69 eV/atom

[11]
An optimized crystal structure of LiBeAlRu, computed with PBE-GGA.

Cell and atoms, written as POSCAR:
```
LiBeAlRu
1.0
4.101 0.000 0.000
2.051 3.552 0.000
2.051 1.184 3.349
Ru Li Al Be
1 1 1 1
Direct
0.250 0.250 0.250
0.750 0.750 0.750
0.500 0.500 0.500
0.000 0.000 0.000
```

## Properties
density: 4.902 g/cm³
symmetry: F-43m (216)
D(E_F): 2.5 states/eV/cell
total magnetic moment: 0.00 μB per cell
E_tot: -4.93 eV/atom

[12]
An optimized crystal structure of LiBe2AlSe4, computed with PBE-GGA.

Cell and atoms, written as POSCAR:
```
LiBe2AlSe4
1.0
-0.420 -2.981 -4.510
3.708 -3.451 1.937
-5.618 0.254 3.615
Li Be Al Se
1 2 1 4
Direct
0.000 0.000 0.000
0.750 0.250 0.500
0.250 0.750 0.500
0.500 0.500 0.000
0.610 0.610 0.726
0.390 0.883 0.274
0.883 0.390 0.274
0.117 0.117 0.726
```

## Properties
density: 3.792 g/cm³
energy relative to the elements, uncorrected: -901 meV/atom
symmetry: I-42m (121)
D(E_F): 0.0 states/eV/cell
total magnetic moment: 0.00 μB per cell
E_tot: -4.28 eV/atom